# 1
Computed, not measured: a relaxed CdIn2Fe crystal at the GGA-PBE level of DFT.

Structure (extended XYZ):
```
4
Lattice="7.071 -0.013 -0.007 6.485 2.818 -0.007 1.447 0.299 4.274" Properties=species:S:1:pos:R:3 pbc="T T T"
Fe 3.797 0.786 1.048
Cd 8.324 1.723 1.841
In 12.753 2.639 0.269
In 11.185 2.314 3.219
```

Summary:
Energy of formation from the pure elements, eV/atom: 0.16



# 2
Computed, not measured: a relaxed CdInFe crystal at the GGA-PBE level of DFT.

Structure (extended XYZ):
```
3
Lattice="3.062 0.000 0.000 -1.531 2.652 0.000 0.000 0.000 7.082" Properties=species:S:1:pos:R:3 pbc="T T T"
In 1.531 0.884 4.539
Cd 0.000 0.000 0.177
Fe 0.000 1.768 2.366
```

Summary:
Energy of formation from the pure elements, eV/atom: 0.36



# 3
Computed, not measured: a relaxed Cd2InFe crystal at the GGA-PBE level of DFT.

Structure (extended XYZ):
```
4
Lattice="-0.076 -3.011 -0.042 2.176 -0.026 -2.082 6.040 -0.241 6.316" Properties=species:S:1:pos:R:3 pbc="T T T"
Cd 2.760 -1.587 0.726
In 5.353 -1.690 3.437
Cd 0.039 -0.002 0.041
Fe 3.007 -0.120 3.145
```

Summary:
Energy of formation from the pure elements, eV/atom: 0.24



# 4
Computed, not measured: a relaxed Cd2InFe2 crystal at the GGA-PBE level of DFT.

Structure (extended XYZ):
```
10
Lattice="-4.912 -4.047 2.075 3.113 -5.218 -2.809 2.005 -0.663 3.454" Properties=species:S:1:pos:R:3 pbc="T T T"
Fe -2.673 -3.141 0.949
Fe 0.588 -2.468 -0.815
Cd 2.254 -4.510 0.199
Fe -2.387 -6.797 0.081
In 0.000 0.000 0.000
Fe 0.874 -6.124 -1.683
Cd -0.094 -2.553 1.937
Cd 0.300 -7.374 0.783
Cd -2.048 -5.417 2.522
In -0.900 -4.632 -0.367
```

Summary:
Energy of formation from the pure elements, eV/atom: 0.31



# 5
Computed, not measured: a relaxed CdIn2Fe crystal at the GGA-PBE level of DFT.

Structure (extended XYZ):
```
4
Lattice="5.083 0.000 0.000 0.000 3.073 0.033 0.000 -0.070 5.203" Properties=species:S:1:pos:R:3 pbc="T T T"
Cd 0.000 1.884 2.448
In 0.000 0.319 4.924
Fe 2.542 1.873 4.130
In 2.542 0.359 1.556
```

Summary:
Energy of formation from the pure elements, eV/atom: 0.33



# 6
Computed, not measured: a relaxed Cd2InFe crystal at the GGA-PBE level of DFT.

Structure (extended XYZ):
```
4
Lattice="-6.082 -0.079 2.604 -5.776 -2.829 1.552 0.130 -1.631 4.299" Properties=species:S:1:pos:R:3 pbc="T T T"
Fe -8.796 -3.404 6.341
Cd -0.528 -1.701 4.293
In -2.932 -1.135 2.114
Cd -5.206 -2.199 4.235
```

Summary:
Energy of formation from the pure elements, eV/atom: 0.18



# 7
Computed, not measured: a relaxed Cd2InFe crystal at the GGA-PBE level of DFT.

Structure (extended XYZ):
```
4
Lattice="4.214 0.000 0.000 0.000 4.214 0.000 0.000 0.000 4.351" Properties=species:S:1:pos:R:3 pbc="T T T"
Cd 0.000 0.000 0.000
In 0.000 2.107 2.176
Fe 2.107 0.000 2.176
Cd 2.107 2.107 0.000
```

Summary:
Energy of formation from the pure elements, eV/atom: 0.28



# 8
Computed, not measured: a relaxed Cd3InFe crystal at the GGA-PBE level of DFT.

Structure (extended XYZ):
```
5
Lattice="5.111 0.000 0.000 0.000 5.111 0.000 0.000 0.000 5.111" Properties=species:S:1:pos:R:3 pbc="T T T"
In 2.556 2.556 2.556
Cd 0.000 2.556 0.000
Cd 0.000 0.000 2.556
Fe 0.000 0.000 0.000
Cd 2.556 0.000 0.000
```

Summary:
Energy of formation from the pure elements, eV/atom: 0.48
Polymorph energy (0 for the lowest one), eV per atom: 0.0000



# 9
Computed, not measured: a relaxed Cd2InFe crystal at the GGA-PBE level of DFT.

Structure (extended XYZ):
```
4
Lattice="-1.242 -4.602 2.639 4.213 -3.171 1.371 -1.263 5.275 0.520" Properties=species:S:1:pos:R:3 pbc="T T T"
In -0.509 -1.607 2.582
Fe 2.218 -0.891 1.948
Cd 1.486 -3.886 2.005
Cd 0.000 0.000 0.000
```

Summary:
Energy of formation from the pure elements, eV/atom: 0.31



# 10
Computed, not measured: a relaxed CdIn2Fe crystal at the GGA-PBE level of DFT.

Structure (extended XYZ):
```
4
Lattice="9.470 0.004 0.003 8.920 3.178 0.003 8.920 1.544 2.778" Properties=species:S:1:pos:R:3 pbc="T T T"
Fe 20.483 3.545 2.087
In 13.433 2.325 1.369
In 0.223 0.039 0.023
Cd 6.828 1.182 0.696
```

Summary:
Energy of formation from the pure elements, eV/atom: 0.26



# 11
Computed, not measured: a relaxed Cd2InFe crystal at the GGA-PBE level of DFT.

Structure (extended XYZ):
```
4
Lattice="5.276 0.001 0.000 1.946 4.905 0.000 -3.611 -2.453 2.964" Properties=species:S:1:pos:R:3 pbc="T T T"
Cd 0.000 0.000 0.000
Cd 0.973 2.452 1.482
Fe 3.611 2.453 0.000
In 2.638 0.000 1.482
```

Summary:
Energy of formation from the pure elements, eV/atom: 0.32



# 12
Computed, not measured: a relaxed CdIn2Fe crystal at the GGA-PBE level of DFT.

Structure (extended XYZ):
```
8
Lattice="-4.341 -0.264 -0.005 0.154 -2.605 3.479 -2.551 5.980 7.310" Properties=species:S:1:pos:R:3 pbc="T T T"
Fe -2.093 -1.435 1.737
Fe -2.245 0.970 6.263
Cd 0.000 0.000 0.000
In -1.224 -0.175 4.001
Cd -4.492 2.141 4.521
In -3.478 3.325 6.897
In -3.191 1.013 2.259
In -5.581 2.059 8.409
```

Summary:
Energy of formation from the pure elements, eV/atom: 0.65



| no. | M_tot (μB per cell) |
| --- | --- |
| 1 | 1.969 |
| 2 | 2.512 |
| 3 | 2.694 |
| 4 | 8.479 |
| 5 | 2.434 |
| 6 | 2.307 |
| 7 | 2.606 |
| 8 | 2.159 |
| 9 | 2.162 |
| 10 | 2.798 |
| 11 | 1.985 |
| 12 | 0.463 |